The following is a PBE+U calculation of an optimized crystal structure of TlVF3, from Alexandria via LeMat-Bulk.

The structure in POSCAR format:
```
TlVF3
1.0
8.2861 0.0000 0.0000
0.0000 6.4824 0.0000
0.0000 0.0000 8.0300
Tl V F
4 4 12
Direct
0.0000 0.0000 0.0000 Tl
0.0000 0.5000 0.0000 Tl
0.5000 0.0000 0.5000 Tl
0.5000 0.5000 0.5000 Tl
0.0217 0.2500 0.4929 V
0.4783 0.7500 0.9929 V
0.5217 0.2500 0.0071 V
0.9783 0.7500 0.5071 V
0.0207 0.0059 0.6604 F
0.0207 0.4941 0.6604 F
0.2456 0.7500 0.9444 F
0.2544 0.2500 0.4444 F
0.4793 0.5059 0.1604 F
0.4793 0.9941 0.1604 F
0.5207 0.0059 0.8396 F
0.5207 0.4941 0.8396 F
0.7456 0.7500 0.5556 F
0.7544 0.2500 0.0556 F
0.9793 0.5059 0.3396 F
0.9793 0.9941 0.3396 F
```

Summary:
Space group: Pnma (62)
Calculated total energy, eV for the cell shown: -104.2